--- one ---
## ScAgCl3 (PBE-GGA)

Data for an optimized crystal structure of ScAgCl3. Values from VASP.

Output
symmetry	P4mm
density	3.2	g/cm3

Cell and atoms, written as Quantum ESPRESSO input:
```
&SYSTEM
  ibrav = 0, nat = 5, ntyp = 3
/
ATOMIC_SPECIES
Sc 44.96 Sc.upf
Ag 107.87 Ag.upf
Cl 35.45 Cl.upf
ATOMIC_POSITIONS angstrom
Sc 0.000 0.000 0.000
Ag 2.293 2.293 3.733
Cl 0.000 2.293 5.248
Cl 2.293 0.000 5.248
Cl 2.293 2.293 1.322
CELL_PARAMETERS angstrom
4.586 0.000 0.000
0.000 4.586 0.000
0.000 0.000 6.440
```

***

--- two ---
## ScAgCl3 (PBE-GGA)

Data for an optimized crystal structure of ScAgCl3. Values from VASP.

Output
symmetry	R-3c
density	3.4	g/cm3

Cell and atoms, written as Quantum ESPRESSO input:
```
&SYSTEM
  ibrav = 0, nat = 10, ntyp = 3
/
ATOMIC_SPECIES
Sc 44.96 Sc.upf
Ag 107.87 Ag.upf
Cl 35.45 Cl.upf
ATOMIC_POSITIONS angstrom
Sc 0.000 0.000 4.118
Sc 0.000 0.000 12.353
Ag 0.000 0.000 0.000
Ag 0.000 0.000 8.236
Cl -2.431 0.009 6.863
Cl -1.223 -2.101 9.608
Cl 1.208 -2.110 6.863
Cl -1.208 2.110 9.608
Cl 1.223 2.101 6.863
Cl 2.431 -0.009 9.608
CELL_PARAMETERS angstrom
3.654 2.110 5.490
-3.654 2.110 5.490
0.000 -4.219 5.490
```

***

--- three ---
## ScAgCl3 (PBE-GGA)

Data for an optimized crystal structure of ScAgCl3. Values from VASP.

Output
symmetry	R-3
density	3.6	g/cm3

Cell and atoms, written as Quantum ESPRESSO input:
```
&SYSTEM
  ibrav = 0, nat = 10, ntyp = 3
/
ATOMIC_SPECIES
Sc 44.96 Sc.upf
Ag 107.87 Ag.upf
Cl 35.45 Cl.upf
ATOMIC_POSITIONS angstrom
Sc 0.000 0.000 3.270
Sc 0.000 0.000 16.743
Ag 0.000 0.000 7.053
Ag 0.000 0.000 12.961
Cl -1.191 -2.017 8.511
Cl -2.342 0.023 11.502
Cl -1.151 2.040 8.511
Cl 1.151 -2.040 11.502
Cl 2.342 -0.023 8.511
Cl 1.191 2.017 11.502
CELL_PARAMETERS angstrom
3.233 1.866 6.671
-3.233 1.866 6.671
0.000 -3.733 6.671
```

***

It is three that is most stable; the runner-up trails by 206 meV per atom.

***

--- one ---
## ScAgCl3 (PBE-GGA)

Data for an optimized crystal structure of ScAgCl3. Values from VASP.

Output
symmetry	Pnma
density	3.7	g/cm3

Cell and atoms, written as Quantum ESPRESSO input:
```
&SYSTEM
  ibrav = 0, nat = 20, ntyp = 3
/
ATOMIC_SPECIES
Sc 44.96 Sc.upf
Ag 107.87 Ag.upf
Cl 35.45 Cl.upf
ATOMIC_POSITIONS angstrom
Sc 0.982 2.918 0.374
Sc 2.278 8.754 3.461
Sc 4.243 2.918 2.714
Sc 5.538 8.754 5.801
Ag 0.000 0.000 3.087
Ag 0.000 5.836 3.087
Ag 3.260 0.000 0.000
Ag 3.260 5.836 0.000
Cl 0.166 8.754 1.987
Cl 0.958 7.128 5.104
Cl 0.958 10.380 5.104
Cl 2.302 1.292 2.017
Cl 2.302 4.544 2.017
Cl 3.094 2.918 5.074
Cl 3.426 8.754 1.100
Cl 4.218 7.128 4.158
Cl 4.218 10.380 4.158
Cl 5.563 1.292 1.070
Cl 5.563 4.544 1.070
Cl 6.354 2.918 4.188
CELL_PARAMETERS angstrom
6.520 0.000 0.000
0.000 11.672 0.000
0.000 0.000 6.174
```

***

--- two ---
## ScAgCl3 (PBE-GGA)

Data for an optimized crystal structure of ScAgCl3. Values from VASP.

Output
symmetry	R-3c
density	3.7	g/cm3

Cell and atoms, written as Quantum ESPRESSO input:
```
&SYSTEM
  ibrav = 0, nat = 10, ntyp = 3
/
ATOMIC_SPECIES
Sc 44.96 Sc.upf
Ag 107.87 Ag.upf
Cl 35.45 Cl.upf
ATOMIC_POSITIONS angstrom
Sc 0.000 0.000 0.000
Sc 0.000 0.000 8.119
Ag 0.000 0.000 4.059
Ag 0.000 0.000 12.178
Cl -2.171 0.281 6.765
Cl -1.329 -1.740 9.472
Cl 0.842 -2.021 6.765
Cl -0.842 2.021 9.472
Cl 1.329 1.740 6.765
Cl 2.171 -0.281 9.472
CELL_PARAMETERS angstrom
3.500 2.021 5.412
-3.500 2.021 5.412
0.000 -4.041 5.412
```

***

--- three ---
## ScAgCl3 (PBE-GGA)

Data for an optimized crystal structure of ScAgCl3. Values from VASP.

Output
symmetry	P4mm
density	3.4	g/cm3

Cell and atoms, written as Quantum ESPRESSO input:
```
&SYSTEM
  ibrav = 0, nat = 5, ntyp = 3
/
ATOMIC_SPECIES
Sc 44.96 Sc.upf
Ag 107.87 Ag.upf
Cl 35.45 Cl.upf
ATOMIC_POSITIONS angstrom
Sc 0.000 0.000 0.000
Ag 2.503 2.503 2.067
Cl 0.000 0.000 2.514
Cl 0.000 2.503 0.019
Cl 2.503 0.000 0.019
CELL_PARAMETERS angstrom
5.005 0.000 0.000
0.000 5.005 0.000
0.000 0.000 5.012
```

***

--- four ---
## ScAgCl3 (PBE-GGA)

Data for an optimized crystal structure of ScAgCl3. Values from VASP.

Output
symmetry	Pm-3m
density	3.3	g/cm3

Cell and atoms, written as Quantum ESPRESSO input:
```
&SYSTEM
  ibrav = 0, nat = 5, ntyp = 3
/
ATOMIC_SPECIES
Sc 44.96 Sc.upf
Ag 107.87 Ag.upf
Cl 35.45 Cl.upf
ATOMIC_POSITIONS angstrom
Sc 0.000 0.000 0.000
Ag 2.535 2.535 2.535
Cl 0.000 2.535 2.535
Cl 2.535 0.000 2.535
Cl 2.535 2.535 0.000
CELL_PARAMETERS angstrom
5.070 0.000 0.000
0.000 5.070 0.000
0.000 0.000 5.070
```

***

It is two that is most stable; the runner-up trails by 51 meV per atom.

***

--- one ---
## CoAg2 (PBE-GGA)

Data for an optimized crystal structure of CoAg2. Values from VASP.

Output
symmetry	P2_1/c
density	9.3	g/cm3

Cell and atoms, written as Quantum ESPRESSO input:
```
&SYSTEM
  ibrav = 0, nat = 12, ntyp = 2
/
ATOMIC_SPECIES
Co 58.93 Co.upf
Ag 107.87 Ag.upf
ATOMIC_POSITIONS angstrom
Co -0.092 0.658 3.030
Co -1.043 1.950 6.064
Co 5.328 3.265 0.004
Co 4.377 4.557 3.038
Ag 0.386 3.238 2.334
Ag -0.566 4.584 5.368
Ag 2.194 0.592 1.784
Ag 1.243 2.015 4.817
Ag 3.042 3.199 1.250
Ag 2.091 4.622 4.284
Ag 4.851 0.631 0.700
Ag 3.899 1.977 3.733
CELL_PARAMETERS angstrom
6.188 0.000 0.000
0.000 5.215 0.000
-1.903 0.000 6.068
```

***

--- two ---
## CoAg2 (PBE-GGA)

Data for an optimized crystal structure of CoAg2. Values from VASP.

Output
symmetry	Fd-3m
density	8.7	g/cm3

Cell and atoms, written as Quantum ESPRESSO input:
```
&SYSTEM
  ibrav = 0, nat = 6, ntyp = 2
/
ATOMIC_SPECIES
Co 58.93 Co.upf
Ag 107.87 Ag.upf
ATOMIC_POSITIONS angstrom
Co 0.937 0.937 0.937
Co 6.562 6.562 6.562
Ag 3.749 1.875 1.875
Ag 1.875 3.749 1.875
Ag 1.875 1.875 3.749
Ag 3.749 3.749 3.749
CELL_PARAMETERS angstrom
0.000 3.749 3.749
3.749 0.000 3.749
3.749 3.749 0.000
```

***

--- three ---
## CoAg2 (PBE-GGA)

Data for an optimized crystal structure of CoAg2. Values from VASP.

Output
symmetry	P4_2/mnm
density	7.4	g/cm3

Cell and atoms, written as Quantum ESPRESSO input:
```
&SYSTEM
  ibrav = 0, nat = 6, ntyp = 2
/
ATOMIC_SPECIES
Co 58.93 Co.upf
Ag 107.87 Ag.upf
ATOMIC_POSITIONS angstrom
Co 0.000 0.000 0.000
Co 2.907 2.907 1.834
Ag 1.171 1.171 1.834
Ag 1.736 4.078 0.000
Ag 4.078 1.736 0.000
Ag 4.643 4.643 1.834
CELL_PARAMETERS angstrom
5.814 0.000 0.000
0.000 5.814 0.000
0.000 0.000 3.668
```

***

It is one that is most stable; the runner-up trails by 459 meV per atom.

***

--- one ---
## CsCoAg (PBE-GGA)

Data for an optimized crystal structure of CsCoAg. Values from VASP.

Output
symmetry	F-43m
density	5.0	g/cm3

Cell and atoms, written as Quantum ESPRESSO input:
```
&SYSTEM
  ibrav = 0, nat = 3, ntyp = 3
/
ATOMIC_SPECIES
Cs 132.91 Cs.upf
Co 58.93 Co.upf
Ag 107.87 Ag.upf
ATOMIC_POSITIONS angstrom
Cs 0.000 0.000 0.000
Co 5.499 5.499 5.499
Ag 3.666 3.666 3.666
CELL_PARAMETERS angstrom
0.000 3.666 3.666
3.666 0.000 3.666
3.666 3.666 0.000
```

***

--- two ---
## CsCoAg (PBE-GGA)

Data for an optimized crystal structure of CsCoAg. Values from VASP.

Output
symmetry	F-43m
density	3.3	g/cm3

Cell and atoms, written as Quantum ESPRESSO input:
```
&SYSTEM
  ibrav = 0, nat = 3, ntyp = 3
/
ATOMIC_SPECIES
Cs 132.91 Cs.upf
Co 58.93 Co.upf
Ag 107.87 Ag.upf
ATOMIC_POSITIONS angstrom
Cs 0.000 0.000 0.000
Co 2.105 2.105 2.105
Ag 6.316 6.316 6.316
CELL_PARAMETERS angstrom
0.000 4.211 4.211
4.211 0.000 4.211
4.211 4.211 0.000
```

***

It is one that is most stable; the runner-up trails by 412 meV per atom.

***

--- one ---
## CsCoAgS3 (PBE-GGA)

Data for an optimized crystal structure of CsCoAgS3. Values from VASP.

Output
symmetry	P2_1/m
density	4.8	g/cm3

Cell and atoms, written as Quantum ESPRESSO input:
```
&SYSTEM
  ibrav = 0, nat = 12, ntyp = 4
/
ATOMIC_SPECIES
Cs 132.91 Cs.upf
Co 58.93 Co.upf
Ag 107.87 Ag.upf
S 32.06 S.upf
ATOMIC_POSITIONS angstrom
Cs -0.977 0.901 2.422
Cs 5.247 2.704 6.568
Co 3.423 0.901 1.222
Co 0.847 2.704 7.768
Ag 2.093 2.704 3.462
Ag 2.177 0.901 5.527
S 1.905 2.704 1.036
S 0.293 2.704 5.438
S -0.550 0.901 7.982
S 4.820 2.704 1.007
S 3.977 0.901 3.551
S 2.364 0.901 7.954
CELL_PARAMETERS angstrom
8.446 0.000 0.000
0.000 3.605 0.000
-4.177 0.000 8.989
```

***

--- two ---
## CsCoAgS3 (PBE-GGA)

Data for an optimized crystal structure of CsCoAgS3. Values from VASP.

Output
symmetry	Cmcm
density	4.7	g/cm3

Cell and atoms, written as Quantum ESPRESSO input:
```
&SYSTEM
  ibrav = 0, nat = 12, ntyp = 4
/
ATOMIC_SPECIES
Cs 132.91 Cs.upf
Co 58.93 Co.upf
Ag 107.87 Ag.upf
S 32.06 S.upf
ATOMIC_POSITIONS angstrom
Cs 1.779 4.036 7.429
Cs 1.779 -4.036 2.476
Co 1.779 0.000 0.000
Co 1.779 0.000 4.953
Ag 1.779 7.063 2.476
Ag 1.779 -7.063 7.429
S 1.779 6.451 0.141
S 1.779 6.451 4.812
S 1.779 0.887 2.476
S 1.779 -0.887 7.429
S 1.779 -6.451 5.094
S 1.779 -6.451 9.764
CELL_PARAMETERS angstrom
1.779 -7.938 0.000
1.779 7.938 0.000
0.000 0.000 9.906
```

***

It is one that is most stable; the runner-up trails by 133 meV per atom.

***

--- one ---
## CsCoAgTe3 (PBE-GGA)

Data for an optimized crystal structure of CsCoAgTe3. Values from VASP.

Output
symmetry	Cmcm
density	6.2	g/cm3

Cell and atoms, written as Quantum ESPRESSO input:
```
&SYSTEM
  ibrav = 0, nat = 12, ntyp = 4
/
ATOMIC_SPECIES
Cs 132.91 Cs.upf
Co 58.93 Co.upf
Ag 107.87 Ag.upf
Te 127.60 Te.upf
ATOMIC_POSITIONS angstrom
Cs 1.953 4.489 8.150
Cs 1.953 -4.489 2.717
Co 0.000 0.000 0.000
Co 0.000 0.000 5.434
Ag 1.953 0.957 2.717
Ag 1.953 -0.957 8.150
Te 1.953 7.579 2.717
Te 1.953 1.736 0.129
Te 1.953 1.736 5.305
Te 1.953 -1.736 5.562
Te 1.953 -1.736 10.738
Te 1.953 -7.579 8.150
CELL_PARAMETERS angstrom
1.953 -8.618 0.000
1.953 8.618 0.000
0.000 0.000 10.867
```

***

--- two ---
## CsCoAgTe3 (PBE-GGA)

Data for an optimized crystal structure of CsCoAgTe3. Values from VASP.

Output
symmetry	P2_1/m
density	6.2	g/cm3

Cell and atoms, written as Quantum ESPRESSO input:
```
&SYSTEM
  ibrav = 0, nat = 12, ntyp = 4
/
ATOMIC_SPECIES
Cs 132.91 Cs.upf
Co 58.93 Co.upf
Ag 107.87 Ag.upf
Te 127.60 Te.upf
ATOMIC_POSITIONS angstrom
Cs 0.968 0.992 2.795
Cs 3.760 2.975 7.144
Co -0.811 2.975 8.528
Co 5.538 0.992 1.411
Ag -2.304 0.992 5.992
Ag 7.032 2.975 3.947
Te -2.557 0.992 8.752
Te -0.183 2.975 5.974
Te 3.912 2.975 1.149
Te 0.816 0.992 8.791
Te 4.911 0.992 3.966
Te 7.285 2.975 1.187
CELL_PARAMETERS angstrom
9.297 0.000 0.000
0.000 3.967 0.000
-4.569 0.000 9.939
```

***

It is two that is most stable; the runner-up trails by 121 meV per atom.

***

--- one ---
## HfGaCoAg (PBE-GGA)

Data for an optimized crystal structure of HfGaCoAg. Values from VASP.

Output
symmetry	F-43m
density	10.9	g/cm3

Cell and atoms, written as Quantum ESPRESSO input:
```
&SYSTEM
  ibrav = 0, nat = 4, ntyp = 4
/
ATOMIC_SPECIES
Hf 178.49 Hf.upf
Ga 69.72 Ga.upf
Co 58.93 Co.upf
Ag 107.87 Ag.upf
ATOMIC_POSITIONS angstrom
Hf 0.000 0.000 0.000
Ga 3.165 3.165 3.165
Co 4.747 4.747 4.747
Ag 1.582 1.582 1.582
CELL_PARAMETERS angstrom
0.000 3.165 3.165
3.165 0.000 3.165
3.165 3.165 0.000
```

***

--- two ---
## HfGaCoAg (PBE-GGA)

Data for an optimized crystal structure of HfGaCoAg. Values from VASP.

Output
symmetry	F-43m
density	10.8	g/cm3

Cell and atoms, written as Quantum ESPRESSO input:
```
&SYSTEM
  ibrav = 0, nat = 4, ntyp = 4
/
ATOMIC_SPECIES
Hf 178.49 Hf.upf
Ga 69.72 Ga.upf
Co 58.93 Co.upf
Ag 107.87 Ag.upf
ATOMIC_POSITIONS angstrom
Hf 0.000 0.000 0.000
Ga 1.586 1.586 1.586
Co 3.172 3.172 3.172
Ag 4.758 4.758 4.758
CELL_PARAMETERS angstrom
0.000 3.172 3.172
3.172 0.000 3.172
3.172 3.172 0.000
```

***

It is one that is most stable; the runner-up trails by 123 meV per atom.

***

--- one ---
## TaGaCoAg (PBE-GGA)

Data for an optimized crystal structure of TaGaCoAg. Values from VASP.

Output
symmetry	F-43m
density	11.5	g/cm3

Cell and atoms, written as Quantum ESPRESSO input:
```
&SYSTEM
  ibrav = 0, nat = 4, ntyp = 4
/
ATOMIC_SPECIES
Ta 180.95 Ta.upf
Ga 69.72 Ga.upf
Co 58.93 Co.upf
Ag 107.87 Ag.upf
ATOMIC_POSITIONS angstrom
Ta 0.000 0.000 0.000
Ga 3.116 3.116 3.116
Co 4.674 4.674 4.674
Ag 1.558 1.558 1.558
CELL_PARAMETERS angstrom
0.000 3.116 3.116
3.116 0.000 3.116
3.116 3.116 0.000
```

***

--- two ---
## TaGaCoAg (PBE-GGA)

Data for an optimized crystal structure of TaGaCoAg. Values from VASP.

Output
symmetry	F-43m
density	11.4	g/cm3

Cell and atoms, written as Quantum ESPRESSO input:
```
&SYSTEM
  ibrav = 0, nat = 4, ntyp = 4
/
ATOMIC_SPECIES
Ta 180.95 Ta.upf
Ga 69.72 Ga.upf
Co 58.93 Co.upf
Ag 107.87 Ag.upf
ATOMIC_POSITIONS angstrom
Ta 0.000 0.000 0.000
Ga 1.559 1.559 1.559
Co 3.118 3.118 3.118
Ag 4.678 4.678 4.678
CELL_PARAMETERS angstrom
0.000 3.118 3.118
3.118 0.000 3.118
3.118 3.118 0.000
```

***

It is one that is most stable; the runner-up trails by 150 meV per atom.